[1]
Here is NaInI2N after structural relaxation from Alexandria. Energies are from PBE.

Output
Its total magnetization is 3.0 μB per formula unit. The offset from the most stable computed form is 0.3701 eV/atom.

abc: 6.0804 6.0804 4.6469
angles: 90.00 90.00 90.00
Last column: nearest neighbours and their distance in Å.
Element x y z (fractional)
N (0.0000, 0.0000, 0.5000)  2 Na 2.32
In (0.5000, 0.5000, 0.5000)  8 I 3.83
Na (0.0000, 0.0000, 0.0000)  2 N 2.32
I (0.5000, 0.0000, 0.0000)  2 Na 3.04
I (0.0000, 0.5000, 0.0000)  2 Na 3.04

=====

[2]
Here is NaInIN2 after structural relaxation from Alexandria. Energies are from PBE.

Output
Its total magnetization is 5.0 μB per formula unit. The offset from the most stable computed form is 0.5728 eV/atom.

abc: 4.9126 4.9126 6.3514
angles: 90.00 90.00 90.00
Last column: nearest neighbours and their distance in Å.
Element x y z (fractional)
Na (0.0000, 0.0000, 0.0000)  4 N 2.46
I (0.0000, 0.0000, 0.5000)  2 Na 3.18, 4 In 3.47
In (0.5000, 0.5000, 0.5000)  4 I 3.47
N (0.0000, 0.5000, 0.0000)  2 Na 2.46
N (0.5000, 0.0000, 0.0000)  2 Na 2.46

=====

[3]
Here is InNiI2N after structural relaxation from Alexandria. Energies are from PBE.

Output
Its total magnetization is 0.7 μB per formula unit. The offset from the most stable computed form is 0.0000 eV/atom.

abc: 5.6928 5.6928 3.5521
angles: 90.00 90.00 90.00
Last column: nearest neighbours and their distance in Å.
Element x y z (fractional)
I (0.0000, 0.5000, 0.0000)  2 Ni 2.85
N (0.0000, 0.0000, 0.5000)  2 Ni 1.78
I (0.5000, 0.0000, 0.0000)  2 Ni 2.85
Ni (0.0000, 0.0000, 0.0000)  2 N 1.78
In (0.5000, 0.5000, 0.5000)  8 I 3.36, 2 In 3.55

=====

[4]
Here is InNiI2N after structural relaxation from Alexandria. Energies are from PBE.

Output
Its total magnetization is 2.1 μB per formula unit. The offset from the most stable computed form is 0.7289 eV/atom.

abc: 5.7663 5.7663 3.9227
angles: 90.00 90.00 90.00
Last column: nearest neighbours and their distance in Å.
Element x y z (fractional)
In (0.0000, 0.0000, 0.0000)  2 N 1.96
N (0.0000, 0.0000, 0.5000)  2 In 1.96
Ni (0.5000, 0.5000, 0.5000)  8 I 3.49
I (0.5000, 0.0000, 0.0000)  2 In 2.88
I (0.0000, 0.5000, 0.0000)  2 In 2.88

=====

[5]
Here is InNiIN2 after structural relaxation from Alexandria. Energies are from PBE.

Output
Its total magnetization is 3.8 μB per formula unit. For the total energy, the calculation gives -3.705 eV/atom.

abc: 4.1467 4.1467 6.6574
angles: 90.00 90.00 90.00
Last column: nearest neighbours and their distance in Å.
Element x y z (fractional)
N (0.5000, 0.0000, 0.0000)  2 In 2.07
In (0.0000, 0.0000, 0.0000)  4 N 2.07
N (0.0000, 0.5000, 0.0000)  2 In 2.07
Ni (0.5000, 0.5000, 0.5000)  4 I 2.93
I (0.0000, 0.0000, 0.5000)  4 Ni 2.93

=====

[6]
Here is InOsI2N after structural relaxation from Alexandria. Energies are from PBE.

Output
Its total magnetization is 4.7 μB per formula unit. The offset from the most stable computed form is 1.4913 eV/atom.

abc: 5.9927 5.9927 3.9698
angles: 90.00 90.00 90.00
Last column: nearest neighbours and their distance in Å.
Element x y z (fractional)
N (0.0000, 0.0000, 0.5000)  2 In 1.98
Os (0.5000, 0.5000, 0.5000)  8 I 3.59, 2 Os 3.97
I (0.5000, 0.0000, 0.0000)  2 In 3.00
In (0.0000, 0.0000, 0.0000)  2 N 1.98
I (0.0000, 0.5000, 0.0000)  2 In 3.00

=====

[7]
Here is InOsI2N after structural relaxation from Alexandria. Energies are from PBE.

Output
Its total magnetization is 0.0 μB per formula unit. The offset from the most stable computed form is 0.0000 eV/atom.

abc: 5.6804 5.6804 3.7788
angles: 90.00 90.00 90.00
Last column: nearest neighbours and their distance in Å.
Element x y z (fractional)
N (0.0000, 0.0000, 0.5000)  2 Os 1.89
I (0.5000, 0.0000, 0.0000)  2 Os 2.84
I (0.0000, 0.5000, 0.0000)  2 Os 2.84
In (0.5000, 0.5000, 0.5000)  8 I 3.41, 2 In 3.78
Os (0.0000, 0.0000, 0.0000)  2 N 1.89

=====

[8]
Here is InP2IN after structural relaxation from Alexandria. Energies are from PBE.

Output
Its total magnetization is 0.4 μB per formula unit. For the total energy, the calculation gives -3.720 eV/atom.

abc: 4.1924 6.0242 4.1924
angles: 90.00 90.00 90.00
Last column: nearest neighbours and their distance in Å.
Element x y z (fractional)
I (0.5000, 0.5000, 0.5000)  4 In 2.96
N (0.0000, 0.0000, 0.0000)  4 P 2.10
P (0.5000, 0.0000, 0.0000)  2 N 2.10
In (0.0000, 0.5000, 0.0000)  4 I 2.96, 2 N 3.01
P (0.0000, 0.0000, 0.5000)  2 N 2.10